(1)
! GGA-PBE MnMo3, relaxed; values from VASP
! Fermi-level density of states: 4.63 states/eV/f.u.
! Mass density: 9.531 g/cm3
! SG: Pnma (62)
! Size of the total moment: 0.91 μB per formula unit
! Energy of formation: 0.266 eV/atom
&SYSTEM
  ibrav = 0, nat = 16, ntyp = 2
/
ATOMIC_SPECIES
Mo 95.94 Mo.upf
Mn 54.94 Mn.upf
ATOMIC_POSITIONS crystal
Mo 0.729 0.478 0.120
Mo 0.015 0.250 0.891
Mo 0.271 0.978 0.880
Mo 0.515 0.250 0.609
Mo 0.771 0.978 0.620
Mo 0.271 0.522 0.880
Mo 0.771 0.522 0.620
Mo 0.229 0.022 0.380
Mo 0.729 0.022 0.120
Mo 0.485 0.750 0.391
Mo 0.229 0.478 0.380
Mo 0.985 0.750 0.109
Mn 0.052 0.750 0.621
Mn 0.552 0.750 0.879
Mn 0.948 0.250 0.379
Mn 0.448 0.250 0.121
CELL_PARAMETERS angstrom
5.109 0.000 0.000
0.000 8.968 0.000
0.000 0.000 5.214

---

(2)
! GGA-PBE MgAlPb2, relaxed; values from VASP
! Fermi-level density of states: 1.63 states/eV/f.u.
! Mass density: 7.288 g/cm3
! SG: Cmmm (65)
! Relative energy among the computed polymorphs: 0.357 eV/f.u.
! Size of the total moment: 0.00 μB per formula unit
! Energy of formation: 0.170 eV/atom
&SYSTEM
  ibrav = 0, nat = 4, ntyp = 3
/
ATOMIC_SPECIES
Pb 207.20 Pb.upf
Al 26.98 Al.upf
Mg 24.30 Mg.upf
ATOMIC_POSITIONS crystal
Pb 0.000 0.000 0.004
Pb 0.000 0.000 0.496
Al 0.500 0.500 0.250
Mg 0.500 0.500 0.750
CELL_PARAMETERS angstrom
3.389 -0.119 0.000
-1.414 3.082 0.000
0.000 0.000 10.326

---

(3)
! GGA-PBE BaMnV2N, relaxed; values from VASP
! Uncorrected formation energy: 3.42 eV/atom
! Fermi-level density of states: 6.76 states/eV/f.u.
! Mass density: 4.120 g/cm3
! SG: P4/mmm (123)
! Size of the total moment: 8.89 μB per formula unit
&SYSTEM
  ibrav = 0, nat = 5, ntyp = 4
/
ATOMIC_SPECIES
V 50.94 V.upf
Mn 54.94 Mn.upf
Ba 137.33 Ba.upf
N 14.01 N.upf
ATOMIC_POSITIONS crystal
V 0.000 0.500 0.000
V 0.500 0.000 0.000
Mn 0.000 0.000 0.500
Ba 0.000 0.000 0.000
N 0.500 0.500 0.500
CELL_PARAMETERS angstrom
4.981 0.000 0.000
0.000 4.981 0.000
0.000 0.000 5.006